Computed, not measured: a geometry-optimized ScS2Cl structure at the PBE-GGA level of DFT.

Unit cell a=8.648 b=8.648 c=8.648 alpha=25.03 beta=25.03 gamma=25.03
Sites, in units of the cell vectors:
Sc1 0.000 0.000 0.000
S1 0.091 0.091 0.091
S2 0.909 0.909 0.909
Cl1 0.500 0.500 0.500

ΔE_f (raw) = 39.5 kJ/mol of atoms
total magnetization = 0.00 μB/atom
excess energy over the best structure of this formula in the dataset = 144.8 kJ/mol of atoms
space-group type = No. 166

=====

Computed, not measured: a geometry-optimized ScS2Cl2 structure at the PBE-GGA level of DFT.

Unit cell a=6.601 b=6.601 c=6.015 alpha=90.00 beta=90.00 gamma=90.00
Sites, in units of the cell vectors:
Sc1 0.000 0.000 0.000
Sc2 0.500 0.500 0.000
S1 0.104 0.396 0.500
S2 0.396 0.896 0.500
S3 0.604 0.104 0.500
S4 0.896 0.604 0.500
Cl1 0.177 0.677 0.000
Cl2 0.323 0.177 0.000
Cl3 0.677 0.823 0.000
Cl4 0.823 0.323 0.000

ΔE_f (raw) = -79.4 kJ/mol of atoms
total magnetization = 0.15 μB/atom
space-group type = No. 127

=====

Computed, not measured: a geometry-optimized Sc2SCl3 structure at the PBE-GGA level of DFT.

Unit cell a=9.331 b=9.331 c=12.800 alpha=131.02 beta=131.02 gamma=22.54
Sites, in units of the cell vectors:
Sc1 0.091 0.091 0.464
Sc2 0.366 0.366 0.162
Sc3 0.634 0.634 0.838
Sc4 0.909 0.909 0.536
S1 0.096 0.096 0.673
S2 0.904 0.904 0.327
Cl1 0.177 0.177 0.021
Cl2 0.281 0.281 0.397
Cl3 0.457 0.457 0.728
Cl4 0.543 0.543 0.272
Cl5 0.719 0.719 0.603
Cl6 0.823 0.823 0.979

ΔE_f (raw) = -184.4 kJ/mol of atoms
total magnetization = 0.14 μB/atom
excess energy over the best structure of this formula in the dataset = 1.5 kJ/mol of atoms
space-group type = No. 12

=====

Computed, not measured: a geometry-optimized Sc3SCl3 structure at the PBE-GGA level of DFT.

Unit cell a=10.209 b=10.209 c=10.209 alpha=35.86 beta=35.86 gamma=35.86
Sites, in units of the cell vectors:
Sc1 0.108 0.451 0.795
Sc2 0.205 0.892 0.549
Sc3 0.451 0.795 0.108
Sc4 0.549 0.205 0.892
Sc5 0.795 0.108 0.451
Sc6 0.892 0.549 0.205
S1 0.167 0.167 0.167
S2 0.833 0.833 0.833
Cl1 0.070 0.723 0.397
Cl2 0.277 0.603 0.930
Cl3 0.397 0.070 0.723
Cl4 0.603 0.930 0.277
Cl5 0.723 0.397 0.070
Cl6 0.930 0.277 0.603

ΔE_f (raw) = -172.9 kJ/mol of atoms
total magnetization = 0.00 μB/atom
space-group type = No. 148

=====

Computed, not measured: a geometry-optimized ScS2Cl structure at the PBE-GGA level of DFT.

Unit cell a=4.684 b=4.684 c=4.684 alpha=60.00 beta=60.00 gamma=60.00
Sites, in units of the cell vectors:
Sc1 0.000 0.000 0.000
S1 0.250 0.250 0.250
S2 0.750 0.750 0.750
Cl1 0.500 0.500 0.500

ΔE_f (raw) = -35.6 kJ/mol of atoms
total magnetization = 0.00 μB/atom
excess energy over the best structure of this formula in the dataset = 69.7 kJ/mol of atoms
space-group type = No. 225

=====

Computed, not measured: a geometry-optimized Sc2SCl2 structure at the PBE-GGA level of DFT.

Unit cell a=7.677 b=7.677 c=3.162 alpha=90.00 beta=90.00 gamma=90.00
Sites, in units of the cell vectors:
Sc1 0.178 0.322 0.000
Sc2 0.322 0.822 0.000
Sc3 0.678 0.178 0.000
Sc4 0.822 0.678 0.000
S1 0.000 0.000 0.500
S2 0.500 0.500 0.500
Cl1 0.127 0.627 0.500
Cl2 0.373 0.127 0.500
Cl3 0.627 0.873 0.500
Cl4 0.873 0.373 0.500

ΔE_f (raw) = -95.3 kJ/mol of atoms
total magnetization = 0.00 μB/atom
space-group type = No. 127

=====

Computed, not measured: a geometry-optimized Sc2SCl2 structure at the PBE-GGA level of DFT.

Unit cell a=3.685 b=3.685 c=10.141 alpha=101.69 beta=101.69 gamma=60.05
Sites, in units of the cell vectors:
Sc1 0.219 0.219 0.140
Sc2 0.781 0.781 0.860
S1 0.500 0.500 0.000
Cl1 0.055 0.055 0.700
Cl2 0.945 0.945 0.300

ΔE_f (raw) = -187.9 kJ/mol of atoms
total magnetization = 0.00 μB/atom
space-group type = No. 12

=====

Computed, not measured: a geometry-optimized Sc2SCl2 structure at the PBE-GGA level of DFT.

Unit cell a=5.729 b=5.729 c=5.729 alpha=131.76 beta=131.76 gamma=70.60
Sites, in units of the cell vectors:
Sc1 0.250 0.750 0.500
Sc2 0.750 0.250 0.500
S1 0.000 0.000 0.000
Cl1 0.347 0.347 0.000
Cl2 0.653 0.653 0.000

ΔE_f (raw) = -120.1 kJ/mol of atoms
total magnetization = 0.00 μB/atom
space-group type = No. 139

=====

Computed, not measured: a geometry-optimized ScS2Cl structure at the PBE-GGA level of DFT.

Unit cell a=7.651 b=7.651 c=7.651 alpha=29.07 beta=29.07 gamma=29.07
Sites, in units of the cell vectors:
Sc1 0.000 0.000 0.000
S1 0.394 0.394 0.394
S2 0.606 0.606 0.606
Cl1 0.500 0.500 0.500

ΔE_f (raw) = -105.3 kJ/mol of atoms
total magnetization = 0.00 μB/atom
excess energy over the best structure of this formula in the dataset = 0.0 kJ/mol of atoms
space-group type = No. 166

=====

Computed, not measured: a geometry-optimized ScS8Cl2 structure at the PBE-GGA level of DFT.

Unit cell a=6.420 b=7.019 c=7.416 alpha=112.70 beta=95.02 gamma=96.76
Sites, in units of the cell vectors:
Sc1 0.000 0.000 0.000
S1 0.061 0.628 0.717
S2 0.289 0.852 0.743
S3 0.405 0.291 0.200
S4 0.485 0.457 0.839
S5 0.515 0.543 0.161
S6 0.595 0.709 0.800
S7 0.711 0.148 0.257
S8 0.939 0.372 0.283
Cl1 0.137 0.883 0.240
Cl2 0.863 0.117 0.760

ΔE_f (raw) = -43.3 kJ/mol of atoms
total magnetization = 0.00 μB/atom
space-group type = No. 2

=====

Computed, not measured: a geometry-optimized Sc3SCl structure at the PBE-GGA level of DFT.

Unit cell a=4.911 b=4.911 c=4.911 alpha=90.00 beta=90.00 gamma=90.00
Sites, in units of the cell vectors:
Sc1 0.000 0.000 0.500
Sc2 0.000 0.500 0.000
Sc3 0.500 0.000 0.000
S1 0.000 0.000 0.000
Cl1 0.500 0.500 0.500

ΔE_f (raw) = -48.5 kJ/mol of atoms
total magnetization = 0.63 μB/atom
excess energy over the best structure of this formula in the dataset = 0.0 kJ/mol of atoms
space-group type = No. 221

=====

Computed, not measured: a geometry-optimized ScSCl3 structure at the PBE-GGA level of DFT.

Unit cell a=4.981 b=4.981 c=4.981 alpha=90.00 beta=90.00 gamma=90.00
Sites, in units of the cell vectors:
Sc1 0.000 0.000 0.000
S1 0.500 0.500 0.500
Cl1 0.000 0.500 0.500
Cl2 0.500 0.000 0.500
Cl3 0.500 0.500 0.000

ΔE_f (raw) = 5.9 kJ/mol of atoms
total magnetization = 0.02 μB/atom
excess energy over the best structure of this formula in the dataset = 98.7 kJ/mol of atoms
space-group type = No. 221

=====

We obtain uncorrected energy values of -3.6991, -4.4792, -5.6325, -5.8867, -4.4777, -5.0846, -6.0443, -5.3412, -5.1997, -4.3619, -5.4967, -3.1384 eV/atom for the records listed above, in that order.